# 1
# MnCo2Sn2, optimized geometry, DFT PBE
data_MnCo2Sn2
_cell_length_a 4.8596
_cell_length_b 4.8596
_cell_length_c 7.4081
_cell_angle_alpha 90.00
_cell_angle_beta 90.00
_cell_angle_gamma 90.00
_space_group_name_H-M_alt 'I 4/m m m'
_space_group_IT_number 139
_space_group_name_Hall '-I 4 2'
loop_
_atom_site_label
_atom_site_type_symbol
_atom_site_fract_x
_atom_site_fract_y
_atom_site_fract_z
Mn1 Mn 0.0000 0.0000 0.0000
Co1 Co 0.0000 0.0000 0.3494
Sn1 Sn 0.0000 0.5000 0.2500
# * D(E_F): 0.801 states/eV/atom
# * E_form: 0.382 eV per atom
# * total moment: 5.02 μB/f.u.

# 2
# MnCo3Sn, optimized geometry, DFT PBE
data_MnCo3Sn
_cell_length_a 4.6281
_cell_length_b 4.6281
_cell_length_c 4.6281
_cell_angle_alpha 90.00
_cell_angle_beta 90.00
_cell_angle_gamma 90.00
_space_group_name_H-M_alt 'P m -3 m'
_space_group_IT_number 221
_space_group_name_Hall '-P 4 2 3'
loop_
_atom_site_label
_atom_site_type_symbol
_atom_site_fract_x
_atom_site_fract_y
_atom_site_fract_z
Mn1 Mn 0.0000 0.0000 0.0000
Co1 Co 0.0000 0.5000 0.5000
Sn1 Sn 0.5000 0.5000 0.5000
# * D(E_F): 2.208 states/eV/atom
# * E_form: 1.436 eV per atom
# * total moment: 8.14 μB/f.u.

Question: The lowest E_form belongs to which entry?
Answer: MnCo2Sn2

Question: The lowest E_form belongs to which entry?
Answer: MnCo2Sn2

Question: Which formula does entry 1 have?
Answer: MnCo2Sn2